No. 1
# ThZrNb2 | Alexandria | GGA-PBE | relaxed
# DOS at the Fermi energy: 7.32 states/eV/cell
# polymorph energy (0 for the lowest one): 0.256 eV/f.u.
# calculated volume: 22.1 Å³/atom
data_ThZrNb2
_cell_length_a 4.984
_cell_length_b 4.984
_cell_length_c 3.565
_cell_angle_alpha 90.00
_cell_angle_beta 90.00
_cell_angle_gamma 90.00
_space_group_name_H-M_alt 'P 4/m m m'
_space_group_IT_number 123
_space_group_name_Hall '-P 4 2'
loop_
_atom_site_label
_atom_site_type_symbol
_atom_site_fract_x
_atom_site_fract_y
_atom_site_fract_z
Th1 Th 0.000 0.000 0.000
Zr1 Zr 0.500 0.500 0.000
Nb1 Nb 0.000 0.500 0.500

No. 2
# Tb2Sm2Ho2Er | Alexandria | GGA-PBE | relaxed
# DOS at the Fermi energy: 52.79 states/eV/cell
# final energy: -4.489 eV/atom
# calculated volume: 32.3 Å³/atom
data_Tb2Sm2Ho2Er
_cell_length_a 5.6651
_cell_length_b 5.6651
_cell_length_c 24.4346
_cell_angle_alpha 90.00
_cell_angle_beta 90.00
_cell_angle_gamma 120.00
_space_group_name_H-M_alt 'R -3 m'
_space_group_IT_number 166
_space_group_name_Hall '-R 3 2"'
loop_
_atom_site_label
_atom_site_type_symbol
_atom_site_fract_x
_atom_site_fract_y
_atom_site_fract_z
Tb1 Tb 0.0000 0.0000 0.2152
Sm1 Sm 0.0000 0.0000 0.3608
Ho1 Ho 0.0000 0.0000 0.0727
Er1 Er 0.0000 0.0000 0.5000

No. 3
# La5Nd3Y | Alexandria | GGA-PBE | relaxed
# DOS at the Fermi energy: 66.69 states/eV/cell
# final energy: -4.786 eV/atom
# calculated volume: 36.2 Å³/atom
data_La5Nd3Y
_cell_length_a 9.116
_cell_length_b 9.116
_cell_length_c 15.691
_cell_angle_alpha 90.00
_cell_angle_beta 90.00
_cell_angle_gamma 90.00
_space_group_name_H-M_alt 'I 4/m c m'
_space_group_IT_number 140
_space_group_name_Hall '-I 4 2c'
loop_
_atom_site_label
_atom_site_type_symbol
_atom_site_fract_x
_atom_site_fract_y
_atom_site_fract_z
La1 La 0.000 0.000 0.000
La2 La 0.210 0.290 0.139
Nd1 Nd 0.000 0.000 0.250
Nd2 Nd 0.115 0.385 0.500
Y1 Y 0.000 0.500 0.250

No. 4
# LiPdRh2C | Alexandria | GGA-PBE | relaxed
# DOS at the Fermi energy: 4.90 states/eV/cell
# polymorph energy (0 for the lowest one): 0.000 eV/f.u.
# calculated volume: 13.5 Å³/atom
data_LiPdRh2C
_cell_length_a 4.024
_cell_length_b 4.024
_cell_length_c 4.162
_cell_angle_alpha 90.00
_cell_angle_beta 90.00
_cell_angle_gamma 90.00
_space_group_name_H-M_alt 'P 4/m m m'
_space_group_IT_number 123
_space_group_name_Hall '-P 4 2'
loop_
_atom_site_label
_atom_site_type_symbol
_atom_site_fract_x
_atom_site_fract_y
_atom_site_fract_z
Li1 Li 0.000 0.000 0.000
Pd1 Pd 0.500 0.500 0.000
Rh1 Rh 0.000 0.500 0.500
C1 C 0.500 0.500 0.500

No. 5
# TbHfCoOs | Alexandria | GGA-PBE | relaxed
# DOS at the Fermi energy: 8.09 states/eV/cell
# final energy: -8.522 eV/atom
# calculated volume: 18.0 Å³/atom
data_TbHfCoOs
_cell_length_a 6.599
_cell_length_b 6.599
_cell_length_c 6.599
_cell_angle_alpha 90.00
_cell_angle_beta 90.00
_cell_angle_gamma 90.00
_space_group_name_H-M_alt 'F -4 3 m'
_space_group_IT_number 216
_space_group_name_Hall 'F -4 2 3'
loop_
_atom_site_label
_atom_site_type_symbol
_atom_site_fract_x
_atom_site_fract_y
_atom_site_fract_z
Tb1 Tb 0.000 0.000 0.000
Hf1 Hf 0.000 0.000 0.500
Co1 Co 0.250 0.250 0.250
Os1 Os 0.250 0.250 0.750

No. 6
# Zn2NiHg2 | Alexandria | GGA-PBE | relaxed
# DOS at the Fermi energy: 4.44 states/eV/cell
# polymorph energy (0 for the lowest one): 0.000 eV/f.u.
# calculated volume: 18.2 Å³/atom
data_Zn2NiHg2
_cell_length_a 6.460
_cell_length_b 6.460
_cell_length_c 4.351
_cell_angle_alpha 90.00
_cell_angle_beta 90.00
_cell_angle_gamma 90.00
_space_group_name_H-M_alt 'P 4/m b m'
_space_group_IT_number 127
_space_group_name_Hall '-P 4 2ab'
loop_
_atom_site_label
_atom_site_type_symbol
_atom_site_fract_x
_atom_site_fract_y
_atom_site_fract_z
Zn1 Zn 0.146 0.354 0.000
Ni1 Ni 0.000 0.000 0.000
Hg1 Hg 0.173 0.673 0.500

No. 7
# TiCuAg | Alexandria | GGA-PBE | relaxed
# DOS at the Fermi energy: 2.85 states/eV/cell
# polymorph energy (0 for the lowest one): 0.230 eV/f.u.
# calculated volume: 15.5 Å³/atom
data_TiCuAg
_cell_length_a 4.4830
_cell_length_b 4.4830
_cell_length_c 2.6693
_cell_angle_alpha 90.00
_cell_angle_beta 90.00
_cell_angle_gamma 120.00
_space_group_name_H-M_alt 'P 3 m 1'
_space_group_IT_number 156
loop_
_space_group_symop_operation_xyz
'x,y,z'
'-y,x-y,z'
'-x+y,-x,z'
'-y,-x,z'
'-x+y,y,z'
'x,x-y,z'
loop_
_atom_site_label
_atom_site_type_symbol
_atom_site_fract_x
_atom_site_fract_y
_atom_site_fract_z
Ti1 Ti 0.0000 0.0000 0.0000
Cu1 Cu 0.3333 0.6667 0.5012
Ag1 Ag 0.6667 0.3333 0.4992

No. 8
# Zr2NiP | Alexandria | GGA-PBE | relaxed
# DOS at the Fermi energy: 3.52 states/eV/cell
# final energy: -7.712 eV/atom
# calculated volume: 17.0 Å³/atom
data_Zr2NiP
_cell_length_a 3.413
_cell_length_b 4.095
_cell_length_c 4.866
_cell_angle_alpha 90.00
_cell_angle_beta 90.00
_cell_angle_gamma 90.00
_space_group_name_H-M_alt 'P m m m'
_space_group_IT_number 47
loop_
_space_group_symop_operation_xyz
'x,y,z'
'-x,-y,-z'
'-x,-y,z'
'x,y,-z'
'x,-y,-z'
'-x,y,z'
'-x,y,-z'
'x,-y,z'
loop_
_atom_site_label
_atom_site_type_symbol
_atom_site_fract_x
_atom_site_fract_y
_atom_site_fract_z
Zr1 Zr 0.000 0.000 0.000
Zr2 Zr 0.000 0.500 0.500
Ni1 Ni 0.500 0.000 0.500
P1 P 0.500 0.500 0.000

Going through the records in order, we get calculated density values of 9.548; 8.184; 6.195; 8.162; 13.558; 10.804; 7.838; 6.645 g/cm3.
Going through the records in order, we get size of the total moment values of 0.00; 0.02; 0.00; 0.00; 1.98; 0.00; 0.00; 0.00 μB per cell.